BaB2RhCl PBE relaxed; energy relative to the lowest polymorph listed for this composition = 0 meV per atom; V = 111.1 Å³/f.u.; ΔE_f (raw) = -0.175 eV per atom
1.0
4.181 0.000 0.000
0.000 4.181 0.000
0.000 0.000 6.354
Ba B Rh Cl
1 2 1 1
Cartesian
0.000 0.000 0.000 Ba
0.000 2.091 3.177 B
2.091 0.000 3.177 B
0.000 0.000 3.177 Rh
2.091 2.091 0.000 Cl

BaB2RhCl PBE relaxed; energy relative to the lowest polymorph listed for this composition = 2527 meV per atom; V = 154.7 Å³/f.u.; ΔE_f (raw) = 2.352 eV per atom
1.0
5.445 0.000 0.000
0.000 5.445 0.000
0.000 0.000 5.215
Ba B Rh Cl
1 2 1 1
Cartesian
0.000 0.000 0.000 Ba
0.000 2.723 0.000 B
2.723 0.000 0.000 B
0.000 0.000 2.608 Rh
2.723 2.723 2.608 Cl

BaBRuCl2 PBE relaxed; V = 118.4 Å³/f.u.; ΔE_f (raw) = -0.063 eV per atom
1.0
5.440 0.000 0.000
0.000 5.440 0.000
0.000 0.000 4.000
Ba B Ru Cl
1 1 1 2
Cartesian
0.000 0.000 0.000 Ba
2.720 2.720 2.000 B
2.720 2.720 0.000 Ru
0.000 2.720 2.000 Cl
2.720 0.000 2.000 Cl

Ba2BRuCl PBE relaxed; V = 149.2 Å³/f.u.; ΔE_f (raw) = 0.786 eV per atom
1.0
5.758 0.000 0.000
0.000 5.758 0.000
0.000 0.000 4.500
Ba B Ru Cl
2 1 1 1
Cartesian
0.000 2.879 0.000 Ba
2.879 0.000 0.000 Ba
0.000 0.000 0.000 B
2.879 2.879 2.250 Ru
0.000 0.000 2.250 Cl

BaBSCl2 PBE relaxed; energy relative to the lowest polymorph listed for this composition = 0 meV per atom; V = 109.1 Å³/f.u.; ΔE_f (raw) = -0.791 eV per atom
1.0
5.133 0.000 0.000
0.000 5.133 0.000
0.000 0.000 4.142
Ba B S Cl
1 1 1 2
Cartesian
0.000 0.000 0.000 Ba
2.567 2.567 2.071 B
2.567 2.567 0.000 S
0.000 2.567 2.071 Cl
2.567 0.000 2.071 Cl

BaBS2Cl PBE relaxed; energy relative to the lowest polymorph listed for this composition = 1419 meV per atom; V = 223.5 Å³/f.u.; ΔE_f (raw) = 0.794 eV per atom
1.0
6.145 0.000 0.000
0.000 6.145 0.000
0.000 0.000 5.918
Ba B S Cl
1 1 2 1
Cartesian
0.000 0.000 0.000 Ba
3.072 3.072 2.959 B
0.000 3.072 0.000 S
3.072 0.000 0.000 S
0.000 0.000 2.959 Cl

BaBSCl2 PBE relaxed; energy relative to the lowest polymorph listed for this composition = 1020 meV per atom; V = 223.4 Å³/f.u.; ΔE_f (raw) = 0.229 eV per atom
1.0
5.949 0.000 0.000
0.000 5.949 0.000
0.000 0.000 6.314
Ba B S Cl
1 1 1 2
Cartesian
0.000 0.000 0.000 Ba
2.974 2.974 3.157 B
0.000 0.000 3.157 S
0.000 2.974 0.000 Cl
2.974 0.000 0.000 Cl

BaBS2Cl PBE relaxed; energy relative to the lowest polymorph listed for this composition = 0 meV per atom; V = 102.4 Å³/f.u.; ΔE_f (raw) = -0.625 eV per atom
1.0
4.367 0.000 0.000
0.000 4.367 0.000
0.000 0.000 5.370
Ba B S Cl
1 1 2 1
Cartesian
0.000 0.000 0.000 Ba
2.183 2.183 2.685 B
0.000 2.183 2.685 S
2.183 0.000 2.685 S
2.183 2.183 0.000 Cl

BaSrB2Cl PBE relaxed; V = 148.7 Å³/f.u.; ΔE_f (raw) = 0.902 eV per atom
1.0
5.000 0.000 0.000
0.000 5.000 0.000
0.000 0.000 5.949
Ba Sr B Cl
1 1 2 1
Cartesian
0.000 0.000 0.000 Ba
2.500 2.500 2.974 Sr
0.000 2.500 0.000 B
2.500 0.000 0.000 B
0.000 0.000 2.974 Cl

BaCo2B PBE relaxed; E_form = 1.24 eV per formula unit; V = 74.0 Å³/f.u.
1.0
-2.377 2.377 6.545
2.377 -2.377 6.545
2.377 2.377 -6.545
Ba Co B
2 4 2
Cartesian
2.377 1.189 1.636 Ba
0.000 1.189 4.909 Ba
0.000 0.000 0.000 Co
1.189 1.189 -3.273 Co
1.189 -1.189 3.273 Co
0.000 2.377 0.000 Co
2.377 -1.189 4.909 B
0.000 3.566 1.636 B

BaCoB2 PBE relaxed; energy relative to the lowest polymorph listed for this composition = 1502 meV per atom; E_form = 6.39 eV per formula unit; V = 64.7 Å³/f.u.
1.0
0.000 3.187 3.187
3.187 0.000 3.187
3.187 3.187 0.000
Ba Co B
1 1 2
Cartesian
0.000 0.000 0.000 Ba
3.187 3.187 3.187 Co
1.593 1.593 1.593 B
4.780 4.780 4.780 B

BaCoB2 PBE relaxed; energy relative to the lowest polymorph listed for this composition = 0 meV per atom; E_form = 0.38 eV per formula unit; V = 71.7 Å³/f.u.
1.0
-2.588 2.588 5.349
2.588 -2.588 5.349
2.588 2.588 -5.349
Ba Co B
2 2 4
Cartesian
2.588 1.294 1.337 Ba
0.000 1.294 4.011 Ba
2.588 -1.294 4.011 Co
0.000 3.883 1.337 Co
0.000 0.000 0.000 B
1.294 1.294 -2.674 B
1.294 -1.294 2.674 B
0.000 2.588 0.000 B

BaCoB3 PBE relaxed; E_form = 3.21 eV per formula unit; V = 67.5 Å³/f.u.
1.0
4.071 0.000 0.000
0.000 4.071 0.000
0.000 0.000 4.071
Ba Co B
1 1 3
Cartesian
0.000 0.000 0.000 Ba
2.036 2.036 2.036 Co
0.000 2.036 2.036 B
2.036 0.000 2.036 B
2.036 2.036 0.000 B

Ba2CoB PBE relaxed; E_form = 4.71 eV per formula unit; V = 124.5 Å³/f.u.
1.0
-4.105 4.105 3.696
4.105 -4.105 3.696
4.105 4.105 -3.696
Ba Co B
4 2 2
Cartesian
6.157 1.887 -0.924 Ba
1.887 2.052 0.924 Ba
-2.052 2.218 2.772 Ba
2.218 2.052 4.620 Ba
4.105 0.000 1.848 Co
0.000 0.000 3.696 Co
0.000 0.000 0.000 B
0.000 4.105 1.848 B